DFT (PBE) results for a geometry-optimized Ac3PuSe4 structure.

Values from the calculation:
ΔE_f (raw) = -1.754 eV/atom
total DFT energy (no corrections) = -54.63 eV for the cell shown
polymorph energy (0 for the lowest one) = 0.015 eV/atom
total magnetic moment = 6.41 μB/cell
density of states at the Fermi level = 11.76 states/eV/f.u.

Cell: 6.2405 6.2405 6.2405 Å, 90.00 90.00 90.00°
Space group Pm-3m (No. 221)
Asymmetric unit:
Ac: 0.0000 0.0000 0.5000 (multiplicity 3)
Pu: 0.5000 0.5000 0.5000 (multiplicity 1)
Se: 0.0000 0.0000 0.0000 (multiplicity 1)
Se: 0.0000 0.5000 0.5000 (multiplicity 3)